[1]
Y2TlSn | PBE-GGA | optimized geometry

Computed properties:
M_tot, μB/f.u.: 0.00
Theoretical density, g/cm³: 7.122
Fermi-level density of states, states/eV/f.u.: 1.807
Crystal system: trigonal
E_tot, eV/atom: -5.243
DFT formation energy, eV per formula unit: -1.68

a = 3.8116 Å, b = 3.8116 Å, c = 27.8465 Å
α = 90.00°, β = 90.00°, γ = 120.00°
Space group R-3m (No. 166, hexagonal axes)
Symmetry-distinct sites (fractional):
Y 0.0000 0.0000 0.2483 x6
Tl 0.0000 0.0000 0.0000 x3
Sn 0.0000 0.0000 0.5000 x3

[2]
YTl2Sn | PBE-GGA | optimized geometry

Computed properties:
M_tot, μB/f.u.: 0.00
Theoretical density, g/cm³: 8.174
Fermi-level density of states, states/eV/f.u.: 2.627
Crystal system: trigonal
E_tot, eV/atom: -3.699
DFT formation energy, eV per formula unit: 0.40
Energy relative to the lowest polymorph listed for this composition, meV per atom: 412

a = 3.5578 Å, b = 3.5578 Å, c = 34.2678 Å
α = 90.00°, β = 90.00°, γ = 120.00°
Space group R-3m (No. 166, hexagonal axes)
Symmetry-distinct sites (fractional):
Y 0.0000 0.0000 0.0000 x3
Tl 0.0000 0.0000 0.0909 x6
Sn 0.0000 0.0000 0.5000 x3